Compound: HfInCoRh
Source: the Alexandria database
Functional: PBE
Structure: relaxed

Density ... 11.63 g/cm³
M_tot ... 0.980 μB per formula unit
E ... -29.194 eV per formula unit
Energy of formation ... -0.51 eV per atom
Space group ... F-43m

Unit cell a=4.5125 b=4.5125 c=4.5125 alpha=60.00 beta=60.00 gamma=60.00
Each line ends with the local moment (μB).
Fractional coordinates of all 4 atoms:
Rh 0.2500 0.2500 0.2500  0.22
Co 0.7500 0.7500 0.7500  0.88
Hf 0.0000 0.0000 0.0000  -0.08
In 0.5000 0.5000 0.5000  0.00

***

Compound: HfScInCo
Source: the Alexandria database
Functional: PBE
Structure: relaxed

Density ... 8.71 g/cm³
M_tot ... 0.749 μB per formula unit
E ... -27.435 eV per formula unit
Energy of formation ... -0.33 eV per atom
Space group ... P4mm

Unit cell a=3.1975 b=3.1975 c=7.4030 alpha=90.00 beta=90.00 gamma=90.00
Each line ends with the local moment (μB).
Fractional coordinates of all 4 atoms:
Hf 0.5000 0.5000 0.3659  -0.02
Sc 0.5000 0.5000 0.7810  -0.06
In 0.0000 0.0000 0.0727  0.01
Co 0.0000 0.0000 0.5651  0.84

***

Compound: HfInCo2Se
Source: the Alexandria database
Functional: PBE
Structure: relaxed

Density ... 7.43 g/cm³
M_tot ... 1.872 μB per formula unit
Raw formation energy ... 1264 meV/atom
E ... -24.067 eV per formula unit
Space group ... P4/mmm

Unit cell a=4.6241 b=5.1258 c=4.6241 alpha=90.00 beta=90.00 gamma=90.00
Each line ends with the local moment (μB).
Fractional coordinates of all 5 atoms:
Co 0.0000 0.0000 0.5000  1.33
Co 0.5000 0.0000 0.0000  1.27
Hf 0.5000 0.5000 0.5000  -0.39
Se 0.0000 0.5000 0.0000  0.05
In 0.0000 0.0000 0.0000  -0.07

***

Compound: HfIn2CoTc
Source: the Alexandria database
Functional: PBE
Structure: relaxed

Density ... 7.32 g/cm³
M_tot ... 2.364 μB per formula unit
E ... -28.320 eV per formula unit
Energy of formation ... 0.92 eV per atom
Space group ... P4/mmm

Unit cell a=5.1423 b=4.8454 c=5.1423 alpha=90.00 beta=90.00 gamma=90.00
Each line ends with the local moment (μB).
Fractional coordinates of all 5 atoms:
Co 0.5000 0.5000 0.5000  2.05
Hf 0.0000 0.5000 0.0000  -0.06
Tc 0.0000 0.0000 0.0000  0.35
In 0.0000 0.0000 0.5000  0.01
In 0.5000 0.0000 0.0000  0.01

***

Compound: HfTiInCo
Source: the Alexandria database
Functional: PBE
Structure: relaxed

Density ... 9.48 g/cm³
M_tot ... 0.391 μB per formula unit
E ... -28.594 eV per formula unit
Energy of formation ... -0.23 eV per atom
Space group ... P4mm

Unit cell a=2.9952 b=2.9952 c=7.8121 alpha=90.00 beta=90.00 gamma=90.00
Each line ends with the local moment (μB).
Fractional coordinates of all 4 atoms:
Hf 0.0000 0.0000 0.1156  0.08
Ti 0.0000 0.0000 0.5226  -0.35
In 0.5000 0.5000 0.8075  0.00
Co 0.5000 0.5000 0.3389  0.73

***

Compound: YHfInCo2
Source: the Alexandria database
Functional: PBE
Structure: relaxed

Density ... 7.32 g/cm³
M_tot ... 1.251 μB per formula unit
E ... -30.118 eV per formula unit
Energy of formation ... 0.65 eV per atom
Space group ... P4/mmm

Unit cell a=4.5866 b=5.3961 c=4.5866 alpha=90.00 beta=90.00 gamma=90.00
Each line ends with the local moment (μB).
Fractional coordinates of all 5 atoms:
Y 0.5000 0.5000 0.5000  0.01
Co 0.0000 0.0000 0.5000  0.74
Co 0.5000 0.0000 0.0000  0.62
Hf 0.0000 0.0000 0.0000  -0.14
In 0.0000 0.5000 0.0000  0.02

***

Compound: HfZnInCo
Source: the Alexandria database
Functional: PBE
Structure: relaxed

Density ... 10.63 g/cm³
M_tot ... 0.075 μB per formula unit
E ... -21.633 eV per formula unit
Energy of formation ... -0.14 eV per atom
Space group ... F-43m

Unit cell a=4.5192 b=4.5192 c=4.5192 alpha=60.00 beta=60.00 gamma=60.00
Each line ends with the local moment (μB).
Fractional coordinates of all 4 atoms:
Co 0.5000 0.5000 0.5000  0.10
Zn 0.0000 0.0000 0.0000  0.00
Hf 0.2500 0.2500 0.2500  -0.02
In 0.7500 0.7500 0.7500  0.00

***

Compound: Hf2CoIr
Source: the Alexandria database
Functional: PBE
Structure: relaxed

Density ... 14.97 g/cm³
M_tot ... 1.194 μB per formula unit
Distance to the lowest polymorph of the same formula ... 0.010 eV/atom
E ... -38.526 eV per formula unit
Energy of formation ... -0.66 eV per atom
Space group ... P4/mmm

Unit cell a=3.2700 b=4.5414 c=4.5414 alpha=90.00 beta=90.00 gamma=90.00
Each line ends with the local moment (μB).
Fractional coordinates of all 4 atoms:
Co 0.5000 0.5000 0.5000  1.14
Ir 0.5000 0.0000 0.0000  0.10
Hf 0.0000 0.0000 0.5000  -0.01
Hf 0.0000 0.5000 0.0000  -0.01

***

Compound: Hf6Co5Ir
Source: the Alexandria database
Functional: PBE
Structure: relaxed

Density ... 13.38 g/cm³
M_tot ... 4.019 μB per formula unit
E ... -109.935 eV per formula unit
Energy of formation ... -0.49 eV per atom
Space group ... Immm

Unit cell a=4.4704 b=6.4417 c=7.7733 alpha=114.47 beta=106.71 gamma=90.00
Each line ends with the local moment (μB).
Fractional coordinates of all 12 atoms:
Co 0.6660 0.1660 0.3320  0.91
Co 0.3338 0.3338 0.6675  0.89
Co 0.0000 0.5000 0.0000  0.78
Co 0.6662 0.6662 0.3325  0.89
Co 0.3340 0.8340 0.6680  0.91
Ir 0.0000 0.0000 0.0000  0.13
Hf 0.8311 0.5781 0.6622  -0.06
Hf 0.8311 0.0841 0.6622  -0.06
Hf 0.5000 0.7439 0.0000  -0.05
Hf 0.5000 0.2561 0.0000  -0.05
Hf 0.1689 0.9159 0.3378  -0.06
Hf 0.1689 0.4219 0.3378  -0.06

***

Compound: Hf2Co2Ir
Source: the Alexandria database
Functional: PBE
Structure: relaxed

Density ... 13.59 g/cm³
M_tot ... 1.747 μB per formula unit
Distance to the lowest polymorph of the same formula ... 0.273 eV/atom
E ... -44.248 eV per formula unit
Energy of formation ... -0.25 eV per atom
Space group ... I4/mmm

Unit cell a=3.1986 b=3.1986 c=8.2789 alpha=78.86 beta=78.86 gamma=90.00
Each line ends with the local moment (μB).
Fractional coordinates of all 5 atoms:
Co 0.7500 0.2500 0.5000  1.09
Co 0.2500 0.7500 0.5000  1.09
Ir 0.0000 0.0000 0.0000  -0.05
Hf 0.3905 0.3905 0.2190  -0.15
Hf 0.6095 0.6095 0.7810  -0.15

***

Compound: Hf6Co2Ir
Source: the Alexandria database
Functional: PBE
Structure: relaxed

Density ... 13.28 g/cm³
M_tot ... 0.000 μB per formula unit
Distance to the lowest polymorph of the same formula ... 0.194 eV/atom
E ... -85.056 eV per formula unit
Energy of formation ... -0.25 eV per atom
Space group ... P2_1/c

Unit cell a=5.5615 b=6.8987 c=9.0025 alpha=90.00 beta=89.54 gamma=90.00
Fractional coordinates of all 18 atoms:
Hf 0.8229 0.9268 0.2389
Hf 0.8299 0.6449 0.5567
Hf 0.8590 0.7190 0.9247
Hf 0.6410 0.2190 0.5753
Hf 0.6701 0.1449 0.9433
Hf 0.6771 0.4268 0.2611
Hf 0.1771 0.0732 0.7611
Hf 0.1701 0.3551 0.4433
Hf 0.1410 0.2810 0.0753
Hf 0.3590 0.7810 0.4247
Hf 0.3299 0.8551 0.0567
Hf 0.3229 0.5732 0.7389
Co 0.9042 0.4010 0.7787
Co 0.5958 0.9010 0.7213
Co 0.4042 0.0990 0.2787
Co 0.0958 0.5990 0.2213
Ir 0.5000 0.5000 0.0000
Ir 0.0000 0.0000 0.5000

***

Compound: Hf2Co2Ir
Source: the Alexandria database
Functional: PBE
Structure: relaxed

Density ... 13.94 g/cm³
M_tot ... 0.000 μB per formula unit
Distance to the lowest polymorph of the same formula ... 0.389 eV/atom
E ... -43.671 eV per formula unit
Energy of formation ... -0.14 eV per atom
Space group ... P4/mbm

Unit cell a=7.1746 b=7.1746 c=3.0878 alpha=90.00 beta=90.00 gamma=90.00
Fractional coordinates of all 10 atoms:
Co 0.1352 0.6352 0.5000
Co 0.6352 0.8648 0.5000
Co 0.8648 0.3648 0.5000
Co 0.3648 0.1352 0.5000
Ir 0.0000 0.0000 0.0000
Ir 0.5000 0.5000 0.0000
Hf 0.3391 0.8391 0.0000
Hf 0.8391 0.6609 0.0000
Hf 0.6609 0.1609 0.0000
Hf 0.1609 0.3391 0.0000

***

Compound: Hf2CoIr
Source: the Alexandria database
Functional: PBE
Structure: relaxed

Density ... 14.99 g/cm³
M_tot ... 1.261 μB per formula unit
Distance to the lowest polymorph of the same formula ... 0.000 eV/atom
E ... -38.566 eV per formula unit
Energy of formation ... -0.67 eV per atom
Space group ... Fm-3m

Unit cell a=4.5677 b=4.5677 c=4.5677 alpha=60.00 beta=60.00 gamma=60.00
Each line ends with the local moment (μB).
Fractional coordinates of all 4 atoms:
Co 0.0000 0.0000 0.0000  1.12
Ir 0.5000 0.5000 0.5000  0.15
Hf 0.2500 0.2500 0.2500  0.00
Hf 0.7500 0.7500 0.7500  0.00

***

Compound: HfCoIr
Source: the Alexandria database
Functional: PBE
Structure: relaxed

Density ... 15.50 g/cm³
M_tot ... 0.850 μB per formula unit
Distance to the lowest polymorph of the same formula ... 0.171 eV/atom
E ... -27.225 eV per formula unit
Energy of formation ... -0.43 eV per atom
Space group ... Immm

Unit cell a=4.1238 b=5.3407 c=5.3407 alpha=100.66 beta=67.29 gamma=67.29
Each line ends with the local moment (μB).
Fractional coordinates of all 6 atoms:
Hf 0.0000 0.8132 0.1868  -0.11
Hf 0.0000 0.1868 0.8132  -0.11
Co 0.5000 0.6342 0.3658  0.81
Co 0.5000 0.3658 0.6342  0.81
Ir 0.7544 0.7456 0.7456  0.18
Ir 0.2456 0.2544 0.2544  0.18

***

Compound: HfCoIr
Source: the Alexandria database
Functional: PBE
Structure: relaxed

Density ... 15.69 g/cm³
M_tot ... 0.000 μB per formula unit
Distance to the lowest polymorph of the same formula ... 0.000 eV/atom
E ... -27.739 eV per formula unit
Energy of formation ... -0.61 eV per atom
Space group ... Imma

Unit cell a=4.9058 b=5.0380 c=5.0380 alpha=62.72 beta=60.86 gamma=60.86
Fractional coordinates of all 6 atoms:
Hf 0.8804 0.3696 0.3696
Hf 0.1196 0.6304 0.6304
Co 0.0000 0.0000 0.0000
Co 0.5000 0.0000 0.0000
Ir 0.5000 0.5000 0.0000
Ir 0.5000 0.0000 0.5000

***

Compound: Hf2CoIr
Source: the Alexandria database
Functional: PBE
Structure: relaxed

Density ... 14.24 g/cm³
M_tot ... 0.000 μB per formula unit
Distance to the lowest polymorph of the same formula ... 0.535 eV/atom
E ... -36.428 eV per formula unit
Energy of formation ... -0.14 eV per atom
Space group ... I-42d

Unit cell a=6.9931 b=6.9931 c=5.7322 alpha=52.41 beta=52.41 gamma=90.00
Fractional coordinates of all 8 atoms:
Co 0.5000 0.5000 0.0000
Co 0.2500 0.7500 0.5000
Ir 0.0000 0.0000 0.0000
Ir 0.7500 0.2500 0.5000
Hf 0.6102 0.1250 0.2500
Hf 0.1398 0.6250 0.2500
Hf 0.3750 0.3898 0.7500
Hf 0.8750 0.8602 0.7500

***

Compound: Hf2CoIr
Source: the Alexandria database
Functional: PBE
Structure: relaxed

Density ... 14.83 g/cm³
M_tot ... 0.049 μB per formula unit
Distance to the lowest polymorph of the same formula ... 0.020 eV/atom
E ... -38.487 eV per formula unit
Energy of formation ... -0.65 eV per atom
Space group ... P2_1/m

Unit cell a=3.1478 b=4.3874 c=10.3314 alpha=89.99 beta=107.36 gamma=90.00
Each line ends with the local moment (μB).
Fractional coordinates of all 8 atoms:
Hf 0.8608 0.7500 0.6115  0.00
Hf 0.1392 0.2500 0.3885  0.00
Hf 0.8565 0.7499 0.1015  -0.01
Hf 0.1435 0.2500 0.8985  -0.01
Co 0.4131 0.2499 0.1566  0.07
Co 0.5869 0.7500 0.8434  0.07
Ir 0.4140 0.2501 0.6656  0.00
Ir 0.5860 0.7499 0.3345  0.00

***

Compound: HfCo3Ir
Source: the Alexandria database
Functional: PBE
Structure: relaxed

Density ... 10.20 g/cm³
M_tot ... 4.752 μB per formula unit
Distance to the lowest polymorph of the same formula ... 0.000 eV/atom
E ... -35.134 eV per formula unit
Energy of formation ... 1.00 eV per atom
Space group ... Pm-3m

Unit cell a=4.4676 b=4.4676 c=4.4676 alpha=90.00 beta=90.00 gamma=90.00
Each line ends with the local moment (μB).
Fractional coordinates of all 5 atoms:
Co 0.0000 0.5000 0.0000  1.52
Co 0.0000 0.0000 0.5000  1.89
Co 0.5000 0.0000 0.0000  1.27
Ir 0.0000 0.0000 0.0000  0.55
Hf 0.5000 0.5000 0.5000  -0.29

***

Compound: Hf4CoIr
Source: the Alexandria database
Functional: PBE
Structure: relaxed

Density ... 13.78 g/cm³
M_tot ... 0.000 μB per formula unit
Distance to the lowest polymorph of the same formula ... 0.000 eV/atom
E ... -58.449 eV per formula unit
Energy of formation ... -0.44 eV per atom
Space group ... P2_1/m

Unit cell a=5.7598 b=6.1741 c=6.8472 alpha=90.00 beta=107.19 gamma=90.00
Fractional coordinates of all 12 atoms:
Hf 0.5924 0.2500 0.4143
Hf 0.4076 0.7500 0.5857
Hf 0.5847 0.2500 0.8813
Hf 0.4153 0.7500 0.1187
Hf 0.9910 0.9994 0.2566
Hf 0.0090 0.4994 0.7434
Hf 0.9910 0.5006 0.2566
Hf 0.0090 0.0006 0.7434
Co 0.2326 0.2500 0.5532
Co 0.7674 0.7500 0.4468
Ir 0.2477 0.2500 0.0673
Ir 0.7523 0.7500 0.9327

***

Compound: Hf4CoIr
Source: the Alexandria database
Functional: PBE
Structure: relaxed

Density ... 13.70 g/cm³
M_tot ... 0.000 μB per formula unit
Distance to the lowest polymorph of the same formula ... 0.013 eV/atom
E ... -58.370 eV per formula unit
Energy of formation ... -0.43 eV per atom
Space group ... C2/c

Unit cell a=5.4731 b=7.1199 c=7.3322 alpha=114.03 beta=105.75 gamma=102.10
Fractional coordinates of all 12 atoms:
Hf 0.0142 0.2271 0.8672
Hf 0.7902 0.6951 0.6409
Hf 0.3531 0.6401 0.8672
Hf 0.3507 0.9458 0.6409
Hf 0.6493 0.0542 0.3591
Hf 0.6469 0.3599 0.1328
Hf 0.2098 0.3049 0.3591
Hf 0.9858 0.7729 0.1328
Co 0.2505 0.0005 0.0011
Co 0.7495 0.9995 0.9989
Ir 0.3877 0.6377 0.2755
Ir 0.6123 0.3623 0.7245

***

Compound: HfCo3Ir
Source: the Alexandria database
Functional: PBE
Structure: relaxed

Density ... 10.78 g/cm³
M_tot ... 3.570 μB per formula unit
Distance to the lowest polymorph of the same formula ... 0.626 eV/atom
E ... -32.003 eV per formula unit
Energy of formation ... 1.63 eV per atom
Space group ... Pm-3m

Unit cell a=4.3858 b=4.3858 c=4.3858 alpha=90.00 beta=90.00 gamma=90.00
Each line ends with the local moment (μB).
Fractional coordinates of all 5 atoms:
Co 0.0000 0.5000 0.0000  1.04
Co 0.0000 0.0000 0.5000  0.90
Co 0.5000 0.0000 0.0000  1.23
Ir 0.5000 0.5000 0.5000  0.67
Hf 0.0000 0.0000 0.0000  -0.27

***

Compound: Hf12Co6Ir
Source: the Alexandria database
Functional: PBE
Structure: relaxed

Density ... 13.07 g/cm³
M_tot ... 0.000 μB per formula unit
E ... -177.927 eV per formula unit
Energy of formation ... -0.37 eV per atom
Space group ... Im-3

Unit cell a=7.6258 b=7.6258 c=7.6258 alpha=109.47 beta=109.47 gamma=109.47
Fractional coordinates of all 19 atoms:
Hf 0.2930 0.1124 0.8194
Hf 0.2930 0.4736 0.1806
Hf 0.7070 0.5264 0.8194
Hf 0.7070 0.8876 0.1806
Hf 0.1124 0.8194 0.2930
Hf 0.4736 0.1806 0.2930
Hf 0.5264 0.8194 0.7070
Hf 0.8876 0.1806 0.7070
Hf 0.8194 0.2930 0.1124
Hf 0.1806 0.2930 0.4736
Hf 0.8194 0.7070 0.5264
Hf 0.1806 0.7070 0.8876
Co 0.3618 0.5000 0.8618
Co 0.6382 0.5000 0.1382
Co 0.5000 0.8618 0.3618
Co 0.5000 0.1382 0.6382
Co 0.8618 0.3618 0.5000
Co 0.1382 0.6382 0.5000
Ir 0.0000 0.0000 0.0000

***

Compound: Hf8Co2Ir
Source: the Alexandria database
Functional: PBE
Structure: relaxed

Density ... 13.29 g/cm³
M_tot ... 0.000 μB per formula unit
E ... -105.043 eV per formula unit
Energy of formation ... -0.21 eV per atom
Space group ... C2/m

Unit cell a=5.0528 b=7.1784 c=7.1784 alpha=117.61 beta=100.08 gamma=100.08
Fractional coordinates of all 11 atoms:
Hf 0.9213 0.9059 0.6607
Hf 0.9213 0.6607 0.9059
Hf 0.3212 0.6209 0.6209
Hf 0.5000 0.7775 0.2225
Hf 0.5000 0.2225 0.7775
Hf 0.6788 0.3791 0.3791
Hf 0.0787 0.3393 0.0941
Hf 0.0787 0.0941 0.3393
Co 0.0000 0.2904 0.7096
Co 0.0000 0.7096 0.2904
Ir 0.5000 0.0000 0.0000

***

Compound: Hf12Co2Ir5
Source: the Alexandria database
Functional: PBE
Structure: relaxed

Density ... 13.65 g/cm³
M_tot ... 0.001 μB per formula unit
E ... -186.589 eV per formula unit
Energy of formation ... -0.45 eV per atom
Space group ... C2/m

Unit cell a=6.5256 b=7.9044 c=8.4856 alpha=99.62 beta=90.00 gamma=114.38
Fractional coordinates of all 19 atoms:
Hf 0.9712 0.9424 0.1709
Hf 0.0730 0.6523 0.8846
Hf 0.5792 0.6523 0.8846
Hf 0.1118 0.7097 0.4219
Hf 0.5979 0.7097 0.4219
Hf 0.4836 0.9672 0.7186
Hf 0.5164 0.0328 0.2814
Hf 0.8882 0.2903 0.5781
Hf 0.4021 0.2903 0.5781
Hf 0.9270 0.3477 0.1154
Hf 0.4208 0.3477 0.1154
Hf 0.0288 0.0576 0.8291
Co 0.6913 0.0000 0.0000
Co 0.3087 0.0000 0.0000
Ir 0.2911 0.5822 0.6371
Ir 0.3307 0.6614 0.1447
Ir 0.0000 0.0000 0.5000
Ir 0.6693 0.3386 0.8553
Ir 0.7089 0.4178 0.3629